--- A ---
Tb2Pm5Y4 | Alexandria | PBE-GGA | relaxed; N(E_F) = 1.413 states/eV/atom
1.0
5.599 -3.657 0.000
5.599 3.657 0.000
-2.829 0.000 8.961
Tb Pm Y
2 5 4
Direct
0.146 0.146 0.118
0.854 0.854 0.882
0.000 0.000 0.500
0.213 0.654 0.231
0.346 0.787 0.769
0.654 0.213 0.231
0.787 0.346 0.769
0.305 0.305 0.499
0.334 0.334 0.882
0.666 0.666 0.118
0.695 0.695 0.501

=====

--- B ---
Tb2Pm5Y4 | Alexandria | PBE-GGA | relaxed; N(E_F) = 1.618 states/eV/atom
1.0
-1.771 4.584 11.788
1.771 -4.584 11.788
1.771 4.584 -11.788
Tb Pm Y
2 5 4
Direct
0.231 0.231 0.000
0.769 0.769 0.000
0.153 0.353 0.800
0.447 0.647 0.800
0.500 0.000 0.500
0.553 0.353 0.200
0.847 0.647 0.200
0.098 0.098 0.000
0.189 0.500 0.689
0.811 0.500 0.311
0.902 0.902 0.000

=====

In terms of stability, A leads; the second structure lies 99 meV/atom higher.